VASP calculation (PBE) on a relaxed KGeO2F crystal.

Properties
energy relative to the elements, uncorrected: 0.120 eV per atom

Cell lengths 4.558, 4.558, 4.580 Å; angles 90.00, 90.00, 90.00 degrees
Each line ends with the local moment (μB).
Positions (direct):
Ge  0.500  0.500  0.500  -0.09
O  0.000  0.500  0.000  0.86
O  0.500  0.000  0.000  0.86
K  0.000  0.000  0.000  0.11
F  0.000  0.000  0.500  -0.01

VASP calculation (PBE) on a relaxed KGeO2F crystal.

Properties
energy relative to the elements, uncorrected: -1.775 eV per atom

Cell lengths 3.732, 3.732, 4.333 Å; angles 90.00, 90.00, 90.00 degrees
Positions (direct):
Ge  0.000  0.000  0.000
F  0.000  0.000  0.500
O  0.000  0.500  0.000
O  0.500  0.000  0.000
K  0.500  0.500  0.500